#w
Cu2PdAu after structural relaxation, computed with PBE-GGA.

Properties
The calculation puts the calculated volume at 14.3 A^3/atom.

Lattice parameters (Å, degrees): 4.0528 4.0528 3.4903 90.00 90.00 90.00
With the nearest neighbours (Å) after each atom.
Space group P4/mmm (No. 123)
Asymmetric unit:
Cu  0.0000  0.5000  0.0000 [2 per cell]  4 Pd 2.67, 4 Au 2.67, 4 Cu 2.87
Pd  0.0000  0.0000  0.5000 [1 per cell]  8 Cu 2.67, 4 Au 2.87
Au  0.5000  0.5000  0.5000 [1 per cell]  8 Cu 2.67, 4 Pd 2.87

=====

#x
Cu2PdAu after structural relaxation, computed with PBE-GGA.

Properties
The calculation puts the calculated volume at 14.4 A^3/atom.

Lattice parameters (Å, degrees): 3.1639 3.1639 5.7540 90.00 90.00 90.00
With the nearest neighbours (Å) after each atom.
Space group P4/mmm (No. 123)
Asymmetric unit:
Cu  0.0000  0.0000  0.2419 [2 per cell]  4 Pd 2.63, 4 Au 2.69, 1 Cu 2.78
Pd  0.5000  0.5000  0.0000 [1 per cell]  8 Cu 2.63, 2 Au 2.88
Au  0.5000  0.5000  0.5000 [1 per cell]  8 Cu 2.69, 2 Pd 2.88

=====

#y
Cu2PdAu after structural relaxation, computed with PBE-GGA.

Properties
The calculation puts the calculated volume at 15.9 A^3/atom.

Lattice parameters (Å, degrees): 6.9219 6.9219 5.3146 90.00 90.00 90.00
With the nearest neighbours (Å) after each atom.
Space group I-42d (No. 122)
Asymmetric unit:
Cu  0.2466  0.7500  0.1250 [8 per cell]  2 Pd 2.52, 2 Au 2.55, 2 Cu 2.66
Pd  0.0000  0.0000  0.0000 [4 per cell]  4 Cu 2.52, 2 Au 2.66
Au  0.0000  0.0000  0.5000 [4 per cell]  4 Cu 2.55, 2 Pd 2.66

=====

Which structure is most stable? #w, by 0.021 eV/atom over the runner-up.

=====

#w
Cu2PdAu after structural relaxation, computed with PBE-GGA.

Properties
The calculation puts the calculated volume at 14.3 A^3/atom.

Lattice parameters (Å, degrees): 6.1193 6.1193 6.1193 90.00 90.00 90.00
With the nearest neighbours (Å) after each atom.
Space group Fm-3m (No. 225)
Asymmetric unit:
Cu  0.2500  0.2500  0.2500 [8 per cell]  4 Pd 2.65, 4 Au 2.65
Pd  0.0000  0.0000  0.0000 [4 per cell]  8 Cu 2.65
Au  0.0000  0.0000  0.5000 [4 per cell]  8 Cu 2.65

=====

#x
Cu2PdAu after structural relaxation, computed with PBE-GGA.

Properties
The calculation puts the calculated volume at 14.7 A^3/atom.

Lattice parameters (Å, degrees): 6.1740 6.1740 6.1740 90.00 90.00 90.00
With the nearest neighbours (Å) after each atom.
Space group F-43m (No. 216)
Asymmetric unit:
Cu  0.0000  0.0000  0.0000 [4 per cell]  4 Cu 2.67, 4 Pd 2.67
Cu  0.2500  0.2500  0.2500 [4 per cell]  4 Cu 2.67, 4 Au 2.67
Pd  0.2500  0.2500  0.7500 [4 per cell]  4 Cu 2.67, 4 Au 2.67
Au  0.0000  0.0000  0.5000 [4 per cell]  4 Cu 2.67, 4 Pd 2.67

=====

Which structure is most stable? #w, by 0.091 eV/atom over the runner-up.

=====

#w
Cu6PdAu8 after structural relaxation, computed with PBE-GGA.

Properties
The calculation puts the calculated volume at 16.4 A^3/atom.

Lattice parameters (Å, degrees): 7.2412 7.2412 16.2635 90.00 90.00 120.00
With the nearest neighbours (Å) after each atom.
Space group R-3 (No. 148, hexagonal axes)
Asymmetric unit:
Cu  0.0073  0.7232  0.2044 [18 per cell]  1 Cu 2.54, 6 Au 2.63-2.84, 1 Pd 2.66
Pd  0.0000  0.0000  0.5000 [3 per cell]  6 Cu 2.66, 6 Au 2.77
Au  0.0000  0.0000  0.1017 [6 per cell]  6 Cu 2.63-2.70, 3 Au 2.83
Au  0.0357  0.2634  0.6301 [18 per cell]  4 Cu 2.72-2.84, 1 Pd 2.77, 4 Au 2.80-2.88

=====

#x
Cu6PdAu8 after structural relaxation, computed with PBE-GGA.

Properties
The calculation puts the calculated volume at 16.8 A^3/atom.

Lattice parameters (Å, degrees): 7.4330 7.4330 15.8076 90.00 90.00 120.00
With the nearest neighbours (Å) after each atom.
Space group R-3 (No. 148, hexagonal axes)
Asymmetric unit:
Cu  0.0007  0.3313  0.2184 [18 per cell]  7 Au 2.61-2.72, 1 Pd 2.61
Pd  0.0000  0.0000  0.5000 [3 per cell]  6 Cu 2.61
Au  0.0000  0.0000  0.1634 [6 per cell]  6 Cu 2.61
Au  0.0017  0.6739  0.6161 [18 per cell]  5 Cu 2.62-2.72, 1 Au 2.93

=====

Which structure is most stable? #w, by 0.008 eV/atom over the runner-up.

=====

#w
Cu2Pd4Au5 after structural relaxation, computed with PBE-GGA.

Properties
The calculation puts the calculated volume at 17.2 A^3/atom.

Lattice parameters (Å, degrees): 2.7828 7.3065 18.5824 90.00 90.00 90.00
With the nearest neighbours (Å) after each atom.
Space group Immm (No. 71)
Asymmetric unit:
Cu  0.0000  0.0000  0.0936 [4 per cell]  5 Pd 2.52-2.61, 4 Au 2.74, 2 Cu 2.78
Pd  0.0000  0.0000  0.2290 [4 per cell]  1 Cu 2.52, 2 Au 2.74, 2 Pd 2.78
Pd  0.0000  0.3147  0.5000 [4 per cell]  4 Cu 2.61, 4 Au 2.69-2.86, 3 Pd 2.71-2.78
Au  0.0000  0.2071  0.3522 [8 per cell]  2 Cu 2.74, 4 Pd 2.74-2.97, 3 Au 2.78-3.03
Au  0.0000  0.5000  0.0000 [2 per cell]  4 Pd 2.69, 2 Au 2.78

=====

#x
Cu2Pd4Au5 after structural relaxation, computed with PBE-GGA.

Properties
The calculation puts the calculated volume at 16.5 A^3/atom.

Lattice parameters (Å, degrees): 19.3480 2.8056 6.7288 90.00 96.76 90.00
With the nearest neighbours (Å) after each atom.
Space group C2/m (No. 12)
Asymmetric unit:
Cu  0.0853  0.0000  0.1853 [4 per cell]  5 Pd 2.70-2.79, 2 Cu 2.81, 5 Au 2.83-2.85
Pd  0.0401  0.5000  0.8523 [4 per cell]  3 Pd 2.66-2.81, 4 Cu 2.70-2.79, 4 Au 2.74-2.90
Pd  0.2254  0.0000  0.3244 [4 per cell]  1 Cu 2.76, 4 Pd 2.81-2.82, 6 Au 2.81-2.83
Au  0.0000  0.0000  0.5000 [2 per cell]  4 Pd 2.78, 6 Au 2.81-2.89, 2 Cu 2.83
Au  0.1316  0.5000  0.5407 [4 per cell]  5 Au 2.81-2.92, 4 Pd 2.81-2.90, 2 Cu 2.83
Au  0.1808  0.5000  0.9687 [4 per cell]  4 Pd 2.74-2.83, 5 Au 2.81-3.01, 2 Cu 2.85

=====

Which structure is most stable? #x, by 0.102 eV/atom over the runner-up.